H2PdPbBr | meta-GGA SCAN | single point on PBEsol structure

E ... -132.4 eV for the cell shown
SG ... No. 123

Unit cell a=3.7718 b=3.7718 c=6.4027 alpha=90.00 beta=90.00 gamma=90.00
Sites, in units of the cell vectors:
Pb1 0.0000 0.0000 0.5000
H1 0.0000 0.5000 0.0000
H2 0.5000 0.0000 0.0000
Br1 0.0000 0.0000 0.0000
Pd1 0.5000 0.5000 0.5000

---

HPtBr2 | meta-GGA SCAN | single point on PBEsol structure

E ... -108.5 eV for the cell shown
SG ... No. 225

Unit cell a=4.5753 b=4.5753 c=4.5753 alpha=60.00 beta=60.00 gamma=60.00
Site moments in Bohr magnetons follow the coordinates.
Sites, in units of the cell vectors:
H1 0.0000 0.0000 0.0000  0.35
Br1 0.2500 0.2500 0.2500  0.43
Br2 0.7500 0.7500 0.7500  0.43
Pt1 0.5000 0.5000 0.5000  1.21

---

HPt3Br | meta-GGA SCAN | single point on PBEsol structure

E ... -224.1 eV for the cell shown
SG ... No. 221

Unit cell a=4.6745 b=4.6745 c=4.6745 alpha=90.00 beta=90.00 gamma=90.00
Site moments in Bohr magnetons follow the coordinates.
Sites, in units of the cell vectors:
H1 0.5000 0.5000 0.5000  0.34
Br1 0.0000 0.0000 0.0000  0.01
Pt1 0.0000 0.5000 0.0000  0.08
Pt2 0.0000 0.0000 0.5000  0.08
Pt3 0.5000 0.0000 0.0000  0.08

---

HPtBr3 | meta-GGA SCAN | single point on PBEsol structure

E ... -126.0 eV for the cell shown
SG ... No. 221

Unit cell a=4.4454 b=4.4454 c=4.4454 alpha=90.00 beta=90.00 gamma=90.00
Site moments in Bohr magnetons follow the coordinates.
Sites, in units of the cell vectors:
H1 0.0000 0.0000 0.0000  -0.01
Br1 0.0000 0.5000 0.0000  0.25
Br2 0.0000 0.0000 0.5000  0.25
Br3 0.5000 0.0000 0.0000  0.25
Pt1 0.5000 0.5000 0.5000  0.90

---

> Number 4 is which compound?

HPtBr3

---

> Which value of E does entry 4 give?

-126.0 eV for the cell shown